Record 1
The following is a PBE-GGA calculation of K2YBe after structural relaxation, from the Alexandria database.

a b c (Å): 3.5919 6.4971 13.9580
angles (deg): 90.00 90.00 90.00
Last column: nearest neighbours and their distance in Å.
Space group Imm2 (No. 44)
Unique sites:
1 K 0.0000 0.0000 0.0000  2 Be 3.44, 2 K 3.59
2 K 0.0000 0.5000 0.1880  2 K 3.59, 4 Be 3.73, 2 Y 3.99
3 Y 0.0000 0.0000 0.3536  2 Be 2.69
4 Be 0.0000 0.5000 0.7103  2 Y 2.69

=====

Record 2
The following is a PBE-GGA calculation of K2YBe after structural relaxation, from the Alexandria database.

a b c (Å): 9.4022 3.7549 10.2249
angles (deg): 90.00 103.82 90.00
Last column: nearest neighbours and their distance in Å.
Space group Cm (No. 8)
Unique sites:
1 K 0.0000 0.0000 0.0000  2 Be 3.54, 2 K 3.75, 1 Y 3.85
2 K 0.1554 0.0000 0.5947  2 Be 3.54, 2 K 3.75, 1 Y 3.86
3 Y 0.3139 0.5000 0.2973  3 Be 2.69-2.77
4 Be 0.0194 0.5000 0.2976  3 Y 2.69-2.77

=====

Record 3
The following is a PBE-GGA calculation of K2YBe after structural relaxation, from the Alexandria database.

a b c (Å): 4.5617 4.5617 12.8999
angles (deg): 90.00 90.00 90.00
Last column: nearest neighbours and their distance in Å.
Space group I4/mmm (No. 139)
Unique sites:
1 K 0.0000 0.5000 0.2500  4 K 3.23
2 Y 0.0000 0.0000 0.0000  4 Be 3.23
3 Be 0.0000 0.0000 0.5000  4 Y 3.23

=====

Record 4
The following is a PBE-GGA calculation of KY2Be after structural relaxation, from the Alexandria database.

a b c (Å): 8.6151 8.6151 6.9169
angles (deg): 90.00 90.00 90.00
Last column: nearest neighbours and their distance in Å.
Space group I-42d (No. 122)
Unique sites:
1 K 0.0000 0.0000 0.0000  2 Be 3.46, 8 Y 3.67-3.68
2 Y 0.1700 0.7500 0.6250  2 Be 2.74
3 Be 0.0000 0.0000 0.5000  4 Y 2.74

=====

Record 5
The following is a PBE-GGA calculation of K2YBe after structural relaxation, from the Alexandria database.

a b c (Å): 3.7190 3.7151 11.3022
angles (deg): 90.00 90.61 90.00
Last column: nearest neighbours and their distance in Å.
Space group Pm (No. 6)
Unique sites:
1 K 0.0000 0.0000 0.0000  4 K 3.72
2 K 0.4800 0.5000 0.3766  4 Be 3.59-3.60, 1 Y 3.62, 4 K 3.72
3 Y 0.4884 0.5000 0.6967  4 Be 2.88
4 Be 0.9848 0.0000 0.5930  4 Y 2.88

=====

Record 6
The following is a PBE-GGA calculation of KY2Be after structural relaxation, from the Alexandria database.

a b c (Å): 3.8933 5.3492 5.5990
angles (deg): 90.00 90.00 90.00
Last column: nearest neighbours and their distance in Å.
Space group Pmmm (No. 47)
Unique sites:
1 K 0.0000 0.0000 0.0000  4 Y 3.31, 4 Be 3.41
2 Y 0.0000 0.5000 0.5000  4 Be 3.31, 4 Y 3.41
3 Y 0.5000 0.5000 0.0000  4 K 3.31, 4 Y 3.41
4 Be 0.5000 0.0000 0.5000  4 Y 3.31, 4 K 3.41

=====

Record 7
The following is a PBE-GGA calculation of KY2Be after structural relaxation, from the Alexandria database.

a b c (Å): 3.4927 3.4927 10.4710
angles (deg): 90.00 90.00 90.00
Last column: nearest neighbours and their distance in Å.
Space group P4/mmm (No. 123)
Unique sites:
1 K 0.0000 0.0000 0.0000  4 K 3.49
2 Y 0.5000 0.5000 0.3479  4 Be 2.94, 1 Y 3.18
3 Be 0.0000 0.0000 0.5000  8 Y 2.94

=====

Record 8
The following is a PBE-GGA calculation of K2YBe after structural relaxation, from the Alexandria database.

a b c (Å): 11.6054 11.6054 5.4464
angles (deg): 90.00 90.00 90.00
Last column: nearest neighbours and their distance in Å.
Space group I-42d (No. 122)
Unique sites:
1 K 0.1268 0.2500 0.1250  2 Be 3.32
2 Y 0.0000 0.0000 0.5000  2 Be 2.72
3 Be 0.0000 0.0000 0.0000  2 Y 2.72

=====

Record 9
The following is a PBE-GGA calculation of K2YBe after structural relaxation, from the Alexandria database.

a b c (Å): 21.0885 3.4951 4.5658
angles (deg): 90.00 102.33 90.00
Last column: nearest neighbours and their distance in Å.
Space group C2/m (No. 12)
Unique sites:
1 K 0.1529 0.0000 0.1503  2 K 3.50, 2 Be 3.60, 2 Y 3.89
2 Y 0.0000 0.0000 0.5000  4 Be 2.87
3 Be 0.0000 0.5000 0.0000  4 Y 2.87

=====

Record 10
The following is a PBE-GGA calculation of KY2Be after structural relaxation, from the Alexandria database.

a b c (Å): 5.1899 5.1899 4.1574
angles (deg): 90.00 90.00 90.00
Last column: nearest neighbours and their distance in Å.
Space group P4/mmm (No. 123)
Unique sites:
1 K 0.0000 0.0000 0.0000  8 Y 3.32, 4 Be 3.67
2 Y 0.0000 0.5000 0.5000  4 K 3.32, 4 Be 3.32, 4 Y 3.67
3 Be 0.5000 0.5000 0.0000  8 Y 3.32, 4 K 3.67

=====

Record 11
The following is a PBE-GGA calculation of K2YBe after structural relaxation, from the Alexandria database.

a b c (Å): 6.5939 12.3630 3.6553
angles (deg): 90.00 90.00 90.00
Last column: nearest neighbours and their distance in Å.
Space group Cmmm (No. 65)
Unique sites:
1 K 0.2500 0.2500 0.0000  4 K 3.30-3.66
2 Y 0.0000 0.0000 0.5000  2 Be 3.30, 2 Y 3.66
3 Be 0.0000 0.5000 0.5000  2 Y 3.30, 2 Be 3.66

=====

Record 12
The following is a PBE-GGA calculation of KY2Be after structural relaxation, from the Alexandria database.

a b c (Å): 6.7520 11.6347 3.3996
angles (deg): 90.00 116.20 90.00
Last column: nearest neighbours and their distance in Å.
Space group C2/m (No. 12)
Unique sites:
1 K 0.0000 0.0000 0.0000  4 Be 3.38-3.58, 2 K 3.40, 4 Y 3.42
2 Y 0.2500 0.2500 0.5000  6 Y 3.38-3.58, 2 K 3.42, 2 Be 3.42
3 Be 0.0000 0.5000 0.0000  4 K 3.38-3.58, 2 Be 3.40, 4 Y 3.42

=====

Number 1: D(E_F) 5.12 states/eV/f.u., magnetization 0.00 μB/cell, ΔE_f 2.8 eV per formula unit. Number 2: D(E_F) 2.11 states/eV/f.u., magnetization 0.00 μB/cell, ΔE_f 2.2 eV per formula unit. Number 3: D(E_F) 5.58 states/eV/f.u., magnetization 2.38 μB/cell, ΔE_f 3.3 eV per formula unit. Number 4: D(E_F) 2.21 states/eV/f.u., magnetization 4.00 μB/cell, ΔE_f 2.8 eV per formula unit. Number 5: D(E_F) 2.93 states/eV/f.u., magnetization 0.00 μB/cell, ΔE_f 1.6 eV per formula unit. Number 6: D(E_F) 3.62 states/eV/f.u., magnetization 0.00 μB/cell, ΔE_f 3.1 eV per formula unit. Number 7: D(E_F) 3.53 states/eV/f.u., magnetization 0.30 μB/cell, ΔE_f 1.1 eV per formula unit. Number 8: D(E_F) 3.58 states/eV/f.u., magnetization 0.00 μB/cell, ΔE_f 3.5 eV per formula unit. Number 9: D(E_F) 4.08 states/eV/f.u., magnetization 0.00 μB/cell, ΔE_f 1.9 eV per formula unit. Number 10: D(E_F) 4.97 states/eV/f.u., magnetization 0.00 μB/cell, ΔE_f 3.1 eV per formula unit. Number 11: D(E_F) 4.48 states/eV/f.u., magnetization 1.88 μB/cell, ΔE_f 3.9 eV per formula unit. Number 12: D(E_F) 5.30 states/eV/f.u., magnetization 0.00 μB/cell, ΔE_f 3.2 eV per formula unit.